(1)
An optimized crystal structure of MgCdF2, computed with PBE-GGA.

Its spin magnetization is 0.00 μB per atom. Its uncorrected formation energy is -5.870 eV per formula unit. Its density is 4.700 Mg/m³. For the energy above the most stable polymorph in this dataset, the calculation gives 1037 meV per atom.

a = 6.273 Å, b = 6.273 Å, c = 6.273 Å
α = 90.00°, β = 90.00°, γ = 90.00°
Space group Fm-3m (No. 225)
Asymmetric unit:
Mg  0.000  0.000  0.000 (multiplicity 4)
Cd  0.000  0.000  0.500 (multiplicity 4)
F  0.250  0.250  0.250 (multiplicity 8)

=====

(2)
An optimized crystal structure of TbNd6Al, computed with PBE-GGA.

Its spin magnetization is 0.00 μB per atom. Its density is 6.830 Mg/m³. The value obtained for the formation energy is -61 meV per atom. For the energy above the most stable polymorph in this dataset, the calculation gives 0 meV per atom.

a = 4.990 Å, b = 4.990 Å, c = 10.267 Å
α = 90.00°, β = 90.00°, γ = 90.00°
Space group P4/mmm (No. 123)
Asymmetric unit:
Tb  0.000  0.000  0.000 (multiplicity 1)
Nd  0.000  0.500  0.262 (multiplicity 4)
Nd  0.500  0.500  0.000 (multiplicity 1)
Nd  0.500  0.500  0.500 (multiplicity 1)
Al  0.000  0.000  0.500 (multiplicity 1)

=====

(3)
An optimized crystal structure of Ru5W, computed with PBE-GGA.

Its spin magnetization is 0.00 μB per atom. Its density is 13.374 Mg/m³. The value obtained for the formation energy is -14 meV per atom. For the energy above the most stable polymorph in this dataset, the calculation gives 22 meV per atom.

a = 4.357 Å, b = 2.756 Å, c = 14.249 Å
α = 90.00°, β = 90.00°, γ = 90.00°
Space group Amm2 (No. 38)
Asymmetric unit:
Ru  0.000  0.000  0.000 (multiplicity 2)
Ru  0.000  0.000  0.333 (multiplicity 2)
Ru  0.000  0.000  0.666 (multiplicity 2)
Ru  0.500  0.000  0.552 (multiplicity 2)
Ru  0.500  0.000  0.888 (multiplicity 2)
W  0.500  0.000  0.222 (multiplicity 2)

=====

(4)
An optimized crystal structure of Dy2RuBr, computed with PBE-GGA.

Its spin magnetization is 0.00 μB per atom. Its uncorrected formation energy is -3.106 eV per formula unit. Its density is 8.946 Mg/m³. For the energy above the most stable polymorph in this dataset, the calculation gives 42 meV per atom.

a = 3.394 Å, b = 3.394 Å, c = 8.153 Å
α = 90.00°, β = 90.00°, γ = 90.00°
Space group P4/mmm (No. 123)
Asymmetric unit:
Dy  0.000  0.000  0.205 (multiplicity 2)
Ru  0.500  0.500  0.000 (multiplicity 1)
Br  0.500  0.500  0.500 (multiplicity 1)

=====

(5)
An optimized crystal structure of K2PPb, computed with PBE-GGA.

Its spin magnetization is 0.04 μB per atom. Its density is 4.460 Mg/m³. The value obtained for the formation energy is 31 meV per atom. For the energy above the most stable polymorph in this dataset, the calculation gives 266 meV per atom.

a = 4.732 Å, b = 4.732 Å, c = 5.262 Å
α = 90.00°, β = 90.00°, γ = 90.00°
Space group P4/mmm (No. 123)
Asymmetric unit:
K  0.000  0.500  0.000 (multiplicity 2)
P  0.000  0.000  0.500 (multiplicity 1)
Pb  0.500  0.500  0.500 (multiplicity 1)

=====

(6)
An optimized crystal structure of Ti6MnAl3, computed with PBE-GGA.

Its spin magnetization is 0.00 μB per atom. Its density is 4.455 Mg/m³. The value obtained for the formation energy is -299 meV per atom.

a = 7.632 Å, b = 4.508 Å, c = 9.622 Å
α = 90.00°, β = 107.70°, γ = 90.00°
Space group P2_1/m (No. 11)
Asymmetric unit:
Ti  0.046  0.250  0.415 (multiplicity 2)
Ti  0.181  0.750  0.183 (multiplicity 2)
Ti  0.276  0.250  0.009 (multiplicity 2)
Ti  0.355  0.250  0.320 (multiplicity 2)
Ti  0.357  0.750  0.808 (multiplicity 2)
Ti  0.433  0.250  0.627 (multiplicity 2)
Mn  0.457  0.750  0.096 (multiplicity 2)
Al  0.035  0.750  0.886 (multiplicity 2)
Al  0.126  0.250  0.718 (multiplicity 2)
Al  0.270  0.750  0.483 (multiplicity 2)

=====

(7)
An optimized crystal structure of La6Nd5Sc2, computed with PBE-GGA.

Its spin magnetization is 0.00 μB per atom. Its density is 6.015 Mg/m³. The value obtained for the formation energy is 138 meV per atom.

a = 10.964 Å, b = 23.247 Å, c = 3.563 Å
α = 90.00°, β = 90.00°, γ = 90.00°
Space group Pbam (No. 55)
Asymmetric unit:
La  0.016  0.114  0.000 (multiplicity 4)
La  0.147  0.383  0.000 (multiplicity 4)
La  0.166  0.637  0.500 (multiplicity 4)
Nd  0.000  0.500  0.500 (multiplicity 2)
Nd  0.083  0.249  0.500 (multiplicity 4)
Nd  0.167  0.999  0.500 (multiplicity 4)
Sc  0.167  0.766  0.000 (multiplicity 4)

=====

(8)
An optimized crystal structure of Pm5Ir3, computed with PBE-GGA.

Its spin magnetization is 0.00 μB per atom. Its density is 10.857 Mg/m³. The value obtained for the formation energy is -576 meV per atom. For the energy above the most stable polymorph in this dataset, the calculation gives 80 meV per atom.

a = 11.333 Å, b = 11.333 Å, c = 6.200 Å
α = 90.00°, β = 90.00°, γ = 90.00°
Space group I4/mcm (No. 140)
Asymmetric unit:
Pm  0.000  0.500  0.250 (multiplicity 4)
Pm  0.084  0.209  0.000 (multiplicity 16)
Ir  0.000  0.000  0.250 (multiplicity 4)
Ir  0.155  0.345  0.500 (multiplicity 8)